[1]
CaTmAlZn after structural relaxation. Source: Alexandria, functional GGA-PBE.

Cell: 3.5695 3.5695 7.4147 Å, 90.00 90.00 90.00°
Last column: nearest neighbours and their distance in Å.
Fractional coordinates of all 4 atoms:
Zn: 0.5000 0.5000 0.5876  4 Tm 3.02, 4 Ca 3.20
Ca: 0.0000 0.0000 0.8519  4 Zn 3.20, 4 Al 3.23, 4 Ca 3.57
Tm: 0.0000 0.0000 0.3639  4 Zn 3.02, 4 Al 3.09
Al: 0.5000 0.5000 0.1244  4 Tm 3.09, 4 Ca 3.23, 1 Zn 3.43

Summary:
Formation enthalpy at 0 K = -297 meV per atom
Relative energy among the computed polymorphs = 0.000 eV per atom

---

[2]
HgAs2SeO after structural relaxation. Source: Alexandria, functional GGA-PBE.

Cell: 5.2441 5.2441 5.2070 Å, 90.00 90.00 90.00°
Last column: nearest neighbours and their distance in Å.
Fractional coordinates of all 5 atoms:
As: 0.5000 0.0000 0.0000  2 Hg 2.62
Hg: 0.0000 0.0000 0.0000  2 Se 2.60, 4 As 2.62
Se: 0.0000 0.0000 0.5000  2 Hg 2.60
O: 0.5000 0.5000 0.5000  8 As 3.70, 4 Se 3.71
As: 0.0000 0.5000 0.0000  2 Hg 2.62

Summary:
Energy relative to the elements, uncorrected = 1.520 eV/atom
Relative energy among the computed polymorphs = 1.188 eV per atom

---

[3]
Zr2CuTcC after structural relaxation. Source: Alexandria, functional GGA-PBE.

Cell: 4.5725 4.5725 3.9254 Å, 90.00 90.00 90.00°
Last column: nearest neighbours and their distance in Å.
Fractional coordinates of all 5 atoms:
Cu: 0.5000 0.5000 0.5000  8 Zr 3.01, 4 Tc 3.23
C: 0.0000 0.0000 0.0000  2 Tc 1.96
Zr: 0.0000 0.5000 0.0000  2 C 2.29
Zr: 0.5000 0.0000 0.0000  2 C 2.29
Tc: 0.0000 0.0000 0.5000  2 C 1.96

Summary:
Formation enthalpy at 0 K = -257 meV per atom

---

[4]
Ti4TlPd after structural relaxation. Source: Alexandria, functional GGA-PBE.

Cell: 3.1584 5.7045 6.3954 Å, 74.04 90.00 73.93°
Last column: nearest neighbours and their distance in Å.
Fractional coordinates of all 6 atoms:
Tl: 0.5006 0.4954 0.0018  8 Ti 2.91-2.95, 2 Tl 3.16, 2 Pd 3.20
Ti: 0.1650 0.1665 0.3523  5 Ti 2.76-2.99, 2 Pd 2.76-2.77, 2 Tl 2.91
Ti: 0.8258 0.8450 0.1796  5 Ti 2.82-2.99, 2 Pd 2.86, 2 Tl 2.95
Ti: 0.8361 0.8244 0.6514  5 Ti 2.76-2.99, 2 Pd 2.77, 2 Tl 2.91
Ti: 0.1753 0.1458 0.8241  5 Ti 2.82-2.99, 2 Pd 2.86, 2 Tl 2.95
Pd: 0.5006 0.4954 0.5019  8 Ti 2.76-2.86

Summary:
Formation enthalpy at 0 K = -176 meV per atom

---

[5]
Hf3Zn3Ni2 after structural relaxation. Source: Alexandria, functional GGA-PBE.

Cell: 3.3666 6.7529 6.7529 Å, 120.00 90.00 90.00°
Last column: nearest neighbours and their distance in Å.
Fractional coordinates of all 8 atoms:
Ni: 0.0000 0.6667 0.3333  6 Hf 2.64, 3 Zn 2.67
Hf: 0.5000 0.0000 0.5829  4 Ni 2.64, 2 Zn 2.92
Zn: 0.0000 0.0000 0.2300  2 Ni 2.67, 2 Zn 2.69, 6 Hf 2.92-2.97
Zn: 0.0000 0.2300 0.0000  2 Ni 2.67, 2 Zn 2.69, 6 Hf 2.92-2.97
Ni: 0.0000 0.3333 0.6667  6 Hf 2.64, 3 Zn 2.67
Hf: 0.5000 0.5829 0.0000  4 Ni 2.64, 2 Zn 2.92
Zn: 0.0000 0.7700 0.7700  2 Ni 2.67, 2 Zn 2.69, 6 Hf 2.92-2.97
Hf: 0.5000 0.4171 0.4171  4 Ni 2.64, 2 Zn 2.92

Summary:
Formation enthalpy at 0 K = -352 meV per atom

---

[6]
RePRh after structural relaxation. Source: Alexandria, functional GGA-PBE.

Cell: 2.9398 2.9398 11.2755 Å, 90.00 90.00 120.00°
Last column: nearest neighbours and their distance in Å.
Fractional coordinates of all 6 atoms:
P: 0.2778 0.5555 0.8437  3 Rh 2.40, 3 Re 2.45
Re: 0.6110 0.2221 0.0000  6 P 2.45
Re: 0.2778 0.5557 0.5000  6 Rh 2.77, 6 Re 2.94
Rh: 0.6111 0.2222 0.6937  3 P 2.40
Rh: 0.6111 0.2222 0.3063  3 P 2.40
P: 0.2778 0.5555 0.1563  3 Rh 2.40, 3 Re 2.45

Summary:
Formation enthalpy at 0 K = -75 meV per atom
Relative energy among the computed polymorphs = 0.112 eV per atom

---

Number 1: magnetization 0.000 μB per atom. Number 2: magnetization 0.060 μB per atom. Number 3: magnetization 0.000 μB per atom. Number 4: magnetization 0.000 μB per atom. Number 5: magnetization 0.000 μB per atom. Number 6: magnetization 0.000 μB per atom.